A plane-wave DFT calculation with PBE was carried out for Bi5Pb6I after structural relaxation.

Cell lengths 4.2832, 10.3851, 10.3851 Å; angles 112.04, 101.85, 101.85 degrees
Last column: nearest neighbours and their distance in Å.
Atoms (fractional coordinates):
Bi  0.5000  0.2054  0.7946  2 Bi 3.23, 6 Pb 3.45-3.56
Pb  0.2382  0.0779  0.4085  5 Bi 3.45-3.56, 4 Pb 3.55-3.65
Pb  0.7618  0.5915  0.9221  5 Bi 3.45-3.56, 4 Pb 3.55-3.65
Pb  0.7618  0.9221  0.5915  5 Bi 3.45-3.56, 4 Pb 3.55-3.65
Pb  0.2382  0.4085  0.0779  5 Bi 3.45-3.56, 4 Pb 3.55-3.65
Pb  0.7586  0.2561  0.2561  4 Bi 3.39-3.74, 2 I 3.49-3.51, 4 Pb 3.55-3.58
Bi  0.5000  0.5000  0.5000  4 Pb 3.39-3.40, 4 Bi 3.41
Pb  0.2414  0.7439  0.7439  4 Bi 3.39-3.74, 2 I 3.49-3.51, 4 Pb 3.55-3.58
Bi  0.0000  0.3457  0.6543  4 Bi 3.23-3.41, 4 Pb 3.49-3.52
I  0.0000  0.0000  0.0000  8 Pb 3.49-3.87
Bi  0.0000  0.6543  0.3457  4 Bi 3.23-3.41, 4 Pb 3.49-3.52
Bi  0.5000  0.7946  0.2054  2 Bi 3.23, 6 Pb 3.45-3.56

Summary:
Size of the total moment = 0.00 μB per formula unit
N(E_F) = 0.406 states/eV per atom
Formation energy from raw total energies = 10.3 meV per atom

***

A plane-wave DFT calculation with PBE was carried out for BiPb2I after structural relaxation.

Cell lengths 6.6235, 6.7245, 13.7628 Å; angles 90.62, 90.00, 90.00 degrees
Last column: nearest neighbours and their distance in Å.
Atoms (fractional coordinates):
Pb  0.7480  0.4766  0.5962  3 Bi 3.14-3.35, 2 I 3.35-3.42
I  0.2503  0.4824  0.1228  4 Pb 3.34-3.42
Pb  0.2520  0.5234  0.4038  3 Bi 3.14-3.35, 2 I 3.35-3.42
Pb  0.7480  0.0234  0.9038  3 Bi 3.14-3.35, 2 I 3.35-3.42
Bi  0.2487  0.4594  0.6298  5 Pb 3.14-3.35
Pb  0.2498  0.9371  0.6460  3 Bi 3.16-3.52, 2 I 3.34
Pb  0.2498  0.5629  0.8540  3 Bi 3.16-3.52, 2 I 3.34
Bi  0.7513  0.9594  0.1298  5 Pb 3.14-3.35
I  0.7497  0.9824  0.6228  4 Pb 3.34-3.42
I  0.7497  0.5176  0.8772  4 Pb 3.34-3.42
Pb  0.7502  0.4371  0.1460  3 Bi 3.16-3.52, 2 I 3.34
Pb  0.7502  0.0629  0.3540  3 Bi 3.16-3.52, 2 I 3.34
Pb  0.2520  0.9766  0.0962  3 Bi 3.14-3.35, 2 I 3.35-3.42
Bi  0.7513  0.5406  0.3702  5 Pb 3.14-3.35
Bi  0.2487  0.0406  0.8702  5 Pb 3.14-3.35
I  0.2503  0.0176  0.3772  4 Pb 3.34-3.42

Summary:
Size of the total moment = 0.00 μB per formula unit
N(E_F) = 0.132 states/eV per atom
Energy above the lowest structure with this stoichiometry = 36 meV per atom
Formation energy from raw total energies = -159.5 meV per atom

***

A plane-wave DFT calculation with PBE was carried out for BiPb2I after structural relaxation.

Cell lengths 8.5296, 8.5296, 7.6738 Å; angles 56.24, 56.24, 90.00 degrees
Last column: nearest neighbours and their distance in Å.
Atoms (fractional coordinates):
Pb  0.6493  0.1250  0.2500  2 Bi 3.11, 2 I 3.38
Bi  0.0000  0.0000  0.0000  4 Pb 3.11
Pb  0.3750  0.3507  0.7500  2 Bi 3.11, 2 I 3.38
Pb  0.8750  0.8993  0.7500  2 Bi 3.11, 2 I 3.38
I  0.2500  0.7500  0.5000  4 Pb 3.38
I  0.5000  0.5000  0.0000  4 Pb 3.38
Bi  0.7500  0.2500  0.5000  4 Pb 3.11
Pb  0.1007  0.6250  0.2500  2 Bi 3.11, 2 I 3.38

Summary:
Size of the total moment = 0.00 μB per formula unit
N(E_F) = 0.072 states/eV per atom
Energy above the lowest structure with this stoichiometry = 227 meV per atom
Formation energy from raw total energies = 31.0 meV per atom